No. 1
First-principles (GGA-PBE) data for a geometry-optimized CeCoSnH structure, as listed in the Alexandria database.

Computed properties:
Its space group is Amm2, No. 38. The value obtained for the spin magnetization is 0.0 μB/f.u. The total energy is -5.5606 eV/atom.

```
4
Lattice="4.5461 0.0000 0.0000 -2.2731 3.9443 0.0055 0.0000 -0.0050 3.5883" Properties=species:S:1:pos:R:3 pbc="T T T"
Ce 2.2731 0.5697 1.1129
Co 0.0000 1.8756 2.9079
Sn 2.2731 3.1934 2.9106
H 0.0000 1.8786 1.1136
```



No. 2
First-principles (GGA-PBE) data for a geometry-optimized Mg4NiAg3 structure, as listed in the Alexandria database.

Computed properties:
Its space group is P4/mmm, No. 123. The value obtained for the spin magnetization is 0.0 μB/f.u. The value obtained for the formation energy is -0.205 eV/atom.

```
8
Lattice="-2.7905 -1.4322 0.5689 0.7889 -2.3385 -2.0177 5.7239 -7.0279 10.3834" Properties=species:S:1:pos:R:3 pbc="T T T"
Mg 2.1135 -2.5950 3.8340
Ag 0.3561 -3.5514 1.7371
Mg 0.6074 -0.7458 1.1018
Mg 3.6104 -4.4329 6.5494
Ag 1.8611 -5.3993 4.4673
Ni -1.0008 -1.8854 -0.7244
Ag 3.3662 -7.2472 7.1975
Mg 5.1165 -6.2821 9.2816
```



No. 3
First-principles (GGA-PBE) data for a geometry-optimized CuNi2 structure, as listed in the Alexandria database.

Computed properties:
Its space group is Pa-3, No. 205. The value obtained for the spin magnetization is 1.1 μB/f.u. The value obtained for the formation energy is 0.830 eV/atom.

```
12
Lattice="5.4868 0.0000 0.0000 0.0000 5.4868 0.0000 0.0000 0.0000 5.4868" Properties=species:S:1:pos:R:3 pbc="T T T"
Ni 4.8188 0.6680 3.4114
Ni 3.4114 3.4114 3.4114
Cu 2.7434 2.7434 0.0000
Ni 3.4114 4.8188 0.6680
Ni 0.6680 3.4114 4.8188
Ni 2.0754 2.0754 2.0754
Ni 4.8188 2.0754 0.6680
Cu 0.0000 0.0000 0.0000
Ni 0.6680 4.8188 2.0754
Cu 0.0000 2.7434 2.7434
Ni 2.0754 0.6680 4.8188
Cu 2.7434 0.0000 2.7434
```



No. 4
First-principles (GGA-PBE) data for a geometry-optimized KNdSm2 structure, as listed in the Alexandria database.

Computed properties:
Its space group is R-3m, No. 166. The value obtained for the spin magnetization is 0.0 μB/f.u. The value obtained for the formation energy is 0.216 eV/atom.

```
4
Lattice="-0.4504 2.7246 -2.4084 -1.3677 -0.7023 -3.3261 -13.0541 2.7531 2.7683" Properties=species:S:1:pos:R:3 pbc="T T T"
Nd -7.4361 2.3877 -1.4831
Sm -5.3503 2.6122 -4.4066
K 0.0000 0.0000 0.0000
Sm -9.5219 2.1632 1.4404
```



No. 5
First-principles (GGA-PBE) data for a geometry-optimized Tb8Y2In structure, as listed in the Alexandria database.

Computed properties:
Its space group is Immm, No. 71. The value obtained for the spin magnetization is 0.0 μB/f.u. The value obtained for the formation energy is 0.005 eV/atom.

```
11
Lattice="-2.8980 1.8252 -4.2162 4.5759 -3.7141 -4.7530 -5.9453 -5.9944 4.9906" Properties=species:S:1:pos:R:3 pbc="T T T"
Tb 0.5004 -3.6975 -5.4438
Tb -2.6550 -5.9010 -0.7297
Y -4.5787 -3.3404 -1.7981
Tb -7.6585 -5.1307 -0.4563
Tb -1.8428 -2.5042 0.1826
Tb -2.4246 -5.3790 -4.1613
Y 0.3113 -4.5429 -2.1806
Tb 3.3911 -2.7526 -3.5224
Tb -1.6124 -1.9823 -3.2491
In -1.4490 0.9126 -2.1081
Tb -4.7678 -4.1857 1.4651
```



No. 6
First-principles (GGA-PBE) data for a geometry-optimized TlGe2Bi2 structure, as listed in the Alexandria database.

Computed properties:
Its space group is I4/mmm, No. 139. The value obtained for the spin magnetization is 0.0 μB/f.u. The value obtained for the formation energy is 0.177 eV/atom.

```
5
Lattice="-1.8927 3.5005 2.3326 -0.3414 -2.6772 3.7407 5.5110 2.5652 5.1828" Properties=species:S:1:pos:R:3 pbc="T T T"
Ge 1.2507 3.2386 5.2761
Bi 0.4941 0.9351 3.5583
Ge 2.0263 0.1498 5.9801
Bi 2.7829 2.4533 7.6978
Tl 0.0000 0.0000 0.0000
```



No. 7
First-principles (GGA-PBE) data for a geometry-optimized Ce4Si2N structure, as listed in the Alexandria database.

Computed properties:
Its space group is I4/mmm, No. 139. The calculation puts the uncorrected formation energy at -0.73 eV per atom. The value obtained for the spin magnetization is 2.6 μB/f.u.

```
7
Lattice="4.6842 0.0000 0.0000 0.0000 4.6842 0.0000 -2.3421 -2.3421 7.6662" Properties=species:S:1:pos:R:3 pbc="T T T"
Ce 0.0000 2.3421 0.0000
Si 0.0000 0.0000 5.6062
N 0.0000 0.0000 0.0000
Ce 2.3421 2.3421 5.0596
Ce 0.0000 0.0000 2.6066
Ce 2.3421 0.0000 0.0000
Si 2.3421 2.3421 2.0600
```



No. 8
First-principles (GGA-PBE) data for a geometry-optimized Tm8Ag3Sb2 structure, as listed in the Alexandria database.

Computed properties:
Its space group is C2/m, No. 12. The calculation puts the uncorrected formation energy at -0.28 eV per atom. The value obtained for the spin magnetization is 0.0 μB/f.u.

```
13
Lattice="-4.8300 3.2173 1.8504 -4.9758 -6.2442 -2.1314 3.2377 0.2724 7.6635" Properties=species:S:1:pos:R:3 pbc="T T T"
Tm -0.0921 -1.8717 5.6982
Tm -2.9981 -1.3693 1.5365
Tm -6.4761 -0.8827 1.6843
Tm -2.4547 -4.6410 3.3063
Sb -1.6739 0.0136 3.8678
Tm -3.5700 -1.3851 5.8460
Tm -1.5368 1.1663 6.7169
Sb -4.8942 -2.7681 3.5146
Ag -2.4150 1.6086 0.9252
Tm -5.0313 -3.9208 0.6655
Tm -4.1134 1.8865 4.0762
Ag -0.8643 -1.0846 -0.3702
Ag -4.1116 -5.1596 -1.7612
```



No. 9
First-principles (GGA-PBE) data for a geometry-optimized CaLa3Tc structure, as listed in the Alexandria database.

Computed properties:
Its space group is C2/c, No. 15. The value obtained for the spin magnetization is 0.0 μB/f.u. The value obtained for the formation energy is 0.123 eV/atom.

```
20
Lattice="14.7756 0.0000 -0.9392 6.3690 6.2120 -4.0195 -6.3690 6.2120 4.0195" Properties=species:S:1:pos:R:3 pbc="T T T"
La 11.0461 7.6643 -1.5027
La 4.5548 7.9006 0.4963
La 10.2208 4.5234 -1.4356
Ca 7.8972 3.9862 1.3053
Tc 13.2032 8.0685 -0.1163
La 11.9426 10.7353 0.0267
Tc 8.9602 1.8565 -1.2926
Tc 1.5724 4.3555 -0.8230
Ca 6.8784 4.5877 -2.2446
La 3.7295 4.7597 0.5635
La 3.6583 10.9717 -1.0331
Tc 5.8154 10.5675 0.3534
Ca 7.8972 7.8363 1.3053
La 8.4430 11.0666 -0.3894
La 1.0552 7.5694 0.0802
La 2.8330 1.6886 -0.9660
La 13.7203 4.8546 -1.0195
La 11.1173 1.4523 0.0938
La 6.3326 1.3574 -0.5498
Ca 6.8784 8.4378 -2.2446
```



No. 10
First-principles (GGA-PBE) data for a geometry-optimized Li6HgPd3 structure, as listed in the Alexandria database.

Computed properties:
Its space group is Cmc2_1, No. 36. The value obtained for the spin magnetization is 0.0 μB/f.u. The value obtained for the formation energy is -0.326 eV/atom.

```
20
Lattice="-1.7818 -2.6515 -3.8575 3.9363 -7.1765 3.1146 -8.1264 2.6124 1.9581" Properties=species:S:1:pos:R:3 pbc="T T T"
Pd -2.1855 0.3387 0.7136
Li -2.4141 -3.7928 3.3361
Li -4.4846 -4.1613 1.2942
Hg 1.1440 -7.0116 0.9565
Li -0.1216 -5.8223 -1.2576
Pd -2.9302 -6.2800 2.3555
Li -5.7282 -2.5301 -0.6879
Li -4.6064 -0.1341 0.1557
Pd -4.9077 -2.6265 4.0092
Li -2.8785 -2.4119 -0.6501
Li -0.3509 -4.8450 1.6710
Li -0.8080 -2.0434 1.3917
Li -6.0907 -1.7508 1.9526
Pd -2.2277 -4.8428 0.1228
Li -9.4650 0.5508 -1.0025
Hg -6.2706 1.0540 2.0889
Pd -0.2079 -3.3148 -0.9401
Li 3.4280 -7.8632 2.0770
Pd -3.3923 -1.8490 1.8544
Li -1.6058 -7.4390 0.5393
```



No. 11
First-principles (GGA-PBE) data for a geometry-optimized TlHgN3 structure, as listed in the Alexandria database.

Computed properties:
Its space group is Pm-3m, No. 221. The calculation puts the uncorrected formation energy at 2.45 eV per atom. The value obtained for the spin magnetization is 4.2 μB/f.u.

```
5
Lattice="4.4108 0.0000 0.0000 0.0000 4.4108 0.0000 0.0000 0.0000 4.4108" Properties=species:S:1:pos:R:3 pbc="T T T"
N 0.0000 2.2054 0.0000
Tl 0.0000 0.0000 0.0000
N 2.2054 0.0000 0.0000
Hg 2.2054 2.2054 2.2054
N 0.0000 0.0000 2.2054
```



No. 12
First-principles (GGA-PBE) data for a geometry-optimized TlGa2I8 structure, as listed in the Alexandria database.

Computed properties:
Its space group is C2/m, No. 12. The calculation puts the uncorrected formation energy at -0.44 eV per atom. The value obtained for the spin magnetization is 0.0 μB/f.u.

```
11
Lattice="0.1243 1.4699 7.1318 -0.1306 -8.4528 2.8853 8.5610 -2.1130 1.4272" Properties=species:S:1:pos:R:3 pbc="T T T"
I 2.5384 -8.0868 4.7785
I 6.0162 -1.0091 6.6659
Tl 0.0000 0.0000 0.0000
I 3.2318 -3.7307 3.0437
I 6.7898 -8.0138 5.6295
Ga 6.7946 -7.4334 8.1814
I 0.6812 -4.9006 7.5609
I 1.7648 -1.0821 5.8149
I 5.3228 -5.3652 8.4006
Ga 1.7600 -1.6624 3.2629
I 7.8735 -4.1953 3.8834
```



- spin magnetization of number 2 (Mg4NiAg3)?
  0.0 μB/f.u.



- Look up the spin magnetization of the first one.
  0.0 μB/f.u.